<one>
# Ti2GaAu6 | Alexandria | PBE-GGA | optimized geometry
# * M_tot: 0.0 μB per cell
data_Ti2GaAu6
_space_group_name_H-M_alt 'P 1'
_space_group_IT_number 1
_cell_length_a 6.281
_cell_length_b 6.281
_cell_length_c 4.788
_cell_angle_alpha 112.22
_cell_angle_beta 112.22
_cell_angle_gamma 78.45
loop_
_space_group_symop_operation_xyz
'x,y,z'
loop_
_atom_site_label
_atom_site_type_symbol
_atom_site_fract_x
_atom_site_fract_y
_atom_site_fract_z
Ti1 Ti 0.174 0.174 0.175
Ti2 Ti 0.826 0.826 0.825
Ga1 Ga 0.500 0.500 0.500
Au1 Au 0.011 0.654 0.333
Au2 Au 0.310 0.690 0.000
Au3 Au 0.346 0.989 0.667
Au4 Au 0.654 0.011 0.333
Au5 Au 0.690 0.310 0.000
Au6 Au 0.989 0.346 0.667

<two>
# Ti2GaAu6 | Alexandria | PBE-GGA | optimized geometry
# * M_tot: 0.0 μB per cell
data_Ti2GaAu6
_space_group_name_H-M_alt 'P 1'
_space_group_IT_number 1
_cell_length_a 7.817
_cell_length_b 7.817
_cell_length_c 4.895
_cell_angle_alpha 98.87
_cell_angle_beta 98.87
_cell_angle_gamma 143.15
loop_
_space_group_symop_operation_xyz
'x,y,z'
loop_
_atom_site_label
_atom_site_type_symbol
_atom_site_fract_x
_atom_site_fract_y
_atom_site_fract_z
Ti1 Ti 0.165 0.835 0.000
Ti2 Ti 0.835 0.165 0.000
Ga1 Ga 0.000 0.000 0.500
Au1 Au 0.167 0.500 0.670
Au2 Au 0.324 0.324 0.168
Au3 Au 0.500 0.167 0.670
Au4 Au 0.500 0.833 0.330
Au5 Au 0.676 0.676 0.832
Au6 Au 0.833 0.500 0.330

Which structure is most stable? <two>, by 0.125 eV/atom over the runner-up.

<one>
# Ti2Ga2Au3 | Alexandria | PBE-GGA | optimized geometry
# * M_tot: 0.0 μB per cell
data_Ti2Ga2Au3
_space_group_name_H-M_alt 'P 1'
_space_group_IT_number 1
_cell_length_a 4.269
_cell_length_b 2.899
_cell_length_c 10.162
_cell_angle_alpha 90.00
_cell_angle_beta 102.15
_cell_angle_gamma 90.00
loop_
_space_group_symop_operation_xyz
'x,y,z'
loop_
_atom_site_label
_atom_site_type_symbol
_atom_site_fract_x
_atom_site_fract_y
_atom_site_fract_z
Ti1 Ti 0.075 0.000 0.150
Ti2 Ti 0.925 0.000 0.850
Ga1 Ga 0.367 0.500 0.732
Ga2 Ga 0.633 0.500 0.268
Au1 Au 0.204 0.500 0.408
Au2 Au 0.500 0.500 0.000
Au3 Au 0.796 0.500 0.592

<two>
# Ti2Ga2Au3 | Alexandria | PBE-GGA | optimized geometry
# * M_tot: 0.3 μB per cell
data_Ti2Ga2Au3
_space_group_name_H-M_alt 'P 1'
_space_group_IT_number 1
_cell_length_a 5.116
_cell_length_b 5.116
_cell_length_c 6.645
_cell_angle_alpha 93.96
_cell_angle_beta 93.96
_cell_angle_gamma 43.43
loop_
_space_group_symop_operation_xyz
'x,y,z'
loop_
_atom_site_label
_atom_site_type_symbol
_atom_site_fract_x
_atom_site_fract_y
_atom_site_fract_z
Ti1 Ti 0.137 0.137 0.436
Ti2 Ti 0.863 0.863 0.564
Ga1 Ga 0.425 0.425 0.282
Ga2 Ga 0.575 0.575 0.718
Au1 Au 0.000 0.000 0.000
Au2 Au 0.283 0.283 0.832
Au3 Au 0.717 0.717 0.168

Which structure is most stable? <two>, by 0.008 eV/atom over the runner-up.

<one>
# Ti4Ga3Au | Alexandria | PBE-GGA | optimized geometry
# * M_tot: 2.6 μB per cell
data_Ti4Ga3Au
_space_group_name_H-M_alt 'P 1'
_space_group_IT_number 1
_cell_length_a 8.323
_cell_length_b 5.586
_cell_length_c 5.652
_cell_angle_alpha 90.00
_cell_angle_beta 90.00
_cell_angle_gamma 90.00
loop_
_space_group_symop_operation_xyz
'x,y,z'
loop_
_atom_site_label
_atom_site_type_symbol
_atom_site_fract_x
_atom_site_fract_y
_atom_site_fract_z
Ti1 Ti 0.000 0.000 0.000
Ti2 Ti 0.000 0.499 0.999
Ti3 Ti 0.250 0.265 0.750
Ti4 Ti 0.250 0.735 0.250
Ti5 Ti 0.500 0.000 0.500
Ti6 Ti 0.500 0.501 0.499
Ti7 Ti 0.750 0.265 0.750
Ti8 Ti 0.750 0.735 0.250
Ga1 Ga 0.000 0.501 0.500
Ga2 Ga 0.250 0.245 0.250
Ga3 Ga 0.250 0.755 0.750
Ga4 Ga 0.500 0.499 0.000
Ga5 Ga 0.750 0.245 0.250
Ga6 Ga 0.750 0.755 0.750
Au1 Au 0.000 0.002 0.500
Au2 Au 0.500 0.998 0.000

<two>
# Ti4Ga3Au | Alexandria | PBE-GGA | optimized geometry
# * M_tot: 0.0 μB per cell
data_Ti4Ga3Au
_space_group_name_H-M_alt 'P 1'
_space_group_IT_number 1
_cell_length_a 2.858
_cell_length_b 2.858
_cell_length_c 15.719
_cell_angle_alpha 90.00
_cell_angle_beta 90.00
_cell_angle_gamma 90.00
loop_
_space_group_symop_operation_xyz
'x,y,z'
loop_
_atom_site_label
_atom_site_type_symbol
_atom_site_fract_x
_atom_site_fract_y
_atom_site_fract_z
Ti1 Ti 0.000 0.000 0.124
Ti2 Ti 0.000 0.000 0.369
Ti3 Ti 0.000 0.000 0.631
Ti4 Ti 0.000 0.000 0.876
Ga1 Ga 0.500 0.500 0.000
Ga2 Ga 0.500 0.500 0.248
Ga3 Ga 0.500 0.500 0.752
Au1 Au 0.500 0.500 0.500

Which structure is most stable? <two>, by 0.109 eV/atom over the runner-up.

<one>
# TiZnGaAu | Alexandria | PBE-GGA | optimized geometry
# * M_tot: 0.0 μB per cell
data_TiZnGaAu
_space_group_name_H-M_alt 'P 1'
_space_group_IT_number 1
_cell_length_a 3.926
_cell_length_b 3.957
_cell_length_c 4.140
_cell_angle_alpha 90.00
_cell_angle_beta 90.00
_cell_angle_gamma 90.00
loop_
_space_group_symop_operation_xyz
'x,y,z'
loop_
_atom_site_label
_atom_site_type_symbol
_atom_site_fract_x
_atom_site_fract_y
_atom_site_fract_z
Ti1 Ti 0.000 0.000 0.000
Zn1 Zn 0.500 0.000 0.500
Ga1 Ga 0.500 0.500 0.000
Au1 Au 0.000 0.500 0.500

<two>
# TiZnGaAu | Alexandria | PBE-GGA | optimized geometry
# * M_tot: 0.0 μB per cell
data_TiZnGaAu
_space_group_name_H-M_alt 'P 1'
_space_group_IT_number 1
_cell_length_a 4.521
_cell_length_b 4.521
_cell_length_c 4.521
_cell_angle_alpha 60.00
_cell_angle_beta 60.00
_cell_angle_gamma 60.00
loop_
_space_group_symop_operation_xyz
'x,y,z'
loop_
_atom_site_label
_atom_site_type_symbol
_atom_site_fract_x
_atom_site_fract_y
_atom_site_fract_z
Ti1 Ti 0.000 0.000 0.000
Zn1 Zn 0.500 0.500 0.500
Ga1 Ga 0.750 0.750 0.750
Au1 Au 0.250 0.250 0.250

Which structure is most stable? <one>, by 0.123 eV/atom over the runner-up.

<one>
# TlGaAu4 | Alexandria | PBE-GGA | optimized geometry
# * M_tot: 0.0 μB per cell
data_TlGaAu4
_space_group_name_H-M_alt 'P 1'
_space_group_IT_number 1
_cell_length_a 6.597
_cell_length_b 6.597
_cell_length_c 7.196
_cell_angle_alpha 110.45
_cell_angle_beta 110.45
_cell_angle_gamma 62.47
loop_
_space_group_symop_operation_xyz
'x,y,z'
loop_
_atom_site_label
_atom_site_type_symbol
_atom_site_fract_x
_atom_site_fract_y
_atom_site_fract_z
Tl1 Tl 0.201 0.201 0.321
Tl2 Tl 0.799 0.799 0.679
Ga1 Ga 0.468 0.468 0.726
Ga2 Ga 0.532 0.532 0.274
Au1 Au 0.109 0.676 0.063
Au2 Au 0.213 0.787 0.500
Au3 Au 0.248 0.248 0.749
Au4 Au 0.324 0.891 0.937
Au5 Au 0.676 0.109 0.063
Au6 Au 0.752 0.752 0.251
Au7 Au 0.787 0.213 0.500
Au8 Au 0.891 0.324 0.937

<two>
# TlGaAu4 | Alexandria | PBE-GGA | optimized geometry
# * M_tot: 0.0 μB per cell
data_TlGaAu4
_space_group_name_H-M_alt 'P 1'
_space_group_IT_number 1
_cell_length_a 10.759
_cell_length_b 10.759
_cell_length_c 5.559
_cell_angle_alpha 90.00
_cell_angle_beta 90.00
_cell_angle_gamma 154.80
loop_
_space_group_symop_operation_xyz
'x,y,z'
loop_
_atom_site_label
_atom_site_type_symbol
_atom_site_fract_x
_atom_site_fract_y
_atom_site_fract_z
Tl1 Tl 0.090 0.910 0.750
Tl2 Tl 0.910 0.090 0.250
Ga1 Ga 0.396 0.604 0.750
Ga2 Ga 0.604 0.396 0.250
Au1 Au 0.163 0.837 0.250
Au2 Au 0.289 0.711 0.004
Au3 Au 0.289 0.711 0.496
Au4 Au 0.500 0.500 0.000
Au5 Au 0.500 0.500 0.500
Au6 Au 0.711 0.289 0.504
Au7 Au 0.711 0.289 0.996
Au8 Au 0.837 0.163 0.750

Which structure is most stable? <one>, by 0.041 eV/atom over the runner-up.